Record 1
A plane-wave DFT calculation with PBE was carried out for Tm2PuNb after structural relaxation.

total moment = 5.4 μB/f.u.
calculated total energy = -7.805 eV/atom

a = 11.5750 Å, b = 11.5750 Å, c = 11.5750 Å
α = 15.94°, β = 15.94°, γ = 15.94°
With the nearest neighbours (Å) after each atom.
Fractional coordinates of all 4 atoms:
Tm (0.0849, 0.0849, 0.0849)  1 Nb 2.91, 6 Tm 3.21
Tm (0.9151, 0.9151, 0.9151)  1 Nb 2.91, 6 Tm 3.21
Pu (0.5000, 0.5000, 0.5000)  6 Pu 3.21, 6 Tm 3.36
Nb (0.0000, 0.0000, 0.0000)  2 Tm 2.91, 6 Nb 3.21



Record 2
A plane-wave DFT calculation with PBE was carried out for Li2AlH after structural relaxation.

total moment = 0.0 μB/f.u.
calculated total energy = -2.842 eV/atom
energy above the lowest structure with this stoichiometry = 0.1049 eV/atom

a = 2.6707 Å, b = 2.6707 Å, c = 7.0077 Å
α = 90.00°, β = 90.00°, γ = 90.00°
With the nearest neighbours (Å) after each atom.
Fractional coordinates of all 4 atoms:
Li (0.0000, 0.0000, 0.1778)  4 H 2.26, 1 Li 2.49
Li (0.0000, 0.0000, 0.8222)  4 H 2.26, 1 Li 2.49
Al (0.5000, 0.5000, 0.5000)  4 Al 2.67, 8 Li 2.94
H (0.5000, 0.5000, 0.0000)  8 Li 2.26



Record 3
A plane-wave DFT calculation with PBE was carried out for La2Re2C3 after structural relaxation.

total moment = 0.0 μB/f.u.
calculated total energy = -9.110 eV/atom
energy above the lowest structure with this stoichiometry = 0.0000 eV/atom

a = 6.4094 Å, b = 6.4094 Å, c = 5.9776 Å
α = 117.11°, β = 117.11°, γ = 31.23°
With the nearest neighbours (Å) after each atom.
Fractional coordinates of all 7 atoms:
La (0.1039, 0.1039, 0.3033)  5 C 2.53-2.73
La (0.8961, 0.8961, 0.6967)  5 C 2.53-2.73
Re (0.3381, 0.3381, 0.1818)  4 C 2.00-2.14
Re (0.6619, 0.6619, 0.8182)  4 C 2.00-2.14
C (0.2461, 0.2461, 0.7762)  3 Re 2.09-2.14
C (0.5000, 0.5000, 0.5000)  2 Re 2.00
C (0.7539, 0.7539, 0.2238)  3 Re 2.09-2.14



Record 4
A plane-wave DFT calculation with PBE was carried out for Ca2AlMo after structural relaxation.

total moment = 0.0 μB/f.u.
calculated total energy = -4.216 eV/atom

a = 2.9971 Å, b = 2.9971 Å, c = 9.9417 Å
α = 90.00°, β = 90.00°, γ = 90.64°
With the nearest neighbours (Å) after each atom.
Fractional coordinates of all 4 atoms:
Ca (0.0000, 0.0000, 0.2476)  4 Ca 3.00, 4 Mo 3.24-3.26, 4 Al 3.28-3.29
Ca (0.0000, 0.0000, 0.7524)  4 Ca 3.00, 4 Mo 3.24-3.26, 4 Al 3.28-3.29
Al (0.5000, 0.5000, 0.5000)  4 Al 3.00, 8 Ca 3.28-3.29
Mo (0.5000, 0.5000, 0.0000)  4 Mo 3.00, 8 Ca 3.24-3.26



Record 5
A plane-wave DFT calculation with PBE was carried out for Zr2TaIr after structural relaxation.

total moment = 0.0 μB/f.u.
calculated total energy = -9.839 eV/atom
energy above the lowest structure with this stoichiometry = 0.0000 eV/atom

a = 3.3310 Å, b = 3.3310 Å, c = 6.9328 Å
α = 90.00°, β = 90.00°, γ = 90.00°
With the nearest neighbours (Å) after each atom.
Fractional coordinates of all 4 atoms:
Zr (0.0000, 0.0000, 0.2355)  4 Ir 2.87, 4 Ta 2.99
Zr (0.0000, 0.0000, 0.7645)  4 Ir 2.87, 4 Ta 2.99
Ta (0.5000, 0.5000, 0.5000)  8 Zr 2.99, 4 Ta 3.33
Ir (0.5000, 0.5000, 0.0000)  8 Zr 2.87



Record 6
A plane-wave DFT calculation with PBE was carried out for ThTi2N after structural relaxation.

total moment = 0.0 μB/f.u.
calculated total energy = -8.491 eV/atom

a = 8.4343 Å, b = 8.4343 Å, c = 8.4343 Å
α = 21.44°, β = 21.44°, γ = 21.44°
With the nearest neighbours (Å) after each atom.
Fractional coordinates of all 4 atoms:
Th (0.0000, 0.0000, 0.0000)  2 Ti 3.05, 6 Th 3.14
Ti (0.1232, 0.1232, 0.1232)  3 N 2.11
Ti (0.8768, 0.8768, 0.8768)  3 N 2.11
N (0.5000, 0.5000, 0.5000)  6 Ti 2.11